# 1
! GGA-PBE AgSbTe2, optimized geometry; values from VASP
! Crystal system: monoclinic
! N(E_F), states/eV per atom: 0.241
! Total magnetic moment, μB per formula unit: 0.0
! Space group: Cm (8)
! Calculated total energy, eV per atom: -3.318
&SYSTEM
  ibrav = 0, nat = 4, ntyp = 3
/
ATOMIC_SPECIES
Sb 121.76 Sb.upf
Te 127.60 Te.upf
Ag 107.87 Ag.upf
CELL_PARAMETERS angstrom
7.648 0.132 -0.588
6.387 4.209 -0.588
-0.856 -0.265 4.177
ATOMIC_POSITIONS angstrom
Sb 2.785 0.861 0.631
Te 0.150 0.046 0.038
Te 9.878 3.055 2.245
Ag 6.957 2.152 1.587

=====

# 2
! GGA-PBE Cu4Pd2Au5, optimized geometry; values from VASP
! Crystal system: orthorhombic
! Calculated formation energy, eV/atom: 0.08
! N(E_F), states/eV per atom: 0.434
! Total magnetic moment, μB per formula unit: 0.0
! Space group: Immm (71)
&SYSTEM
  ibrav = 0, nat = 11, ntyp = 3
/
ATOMIC_SPECIES
Cu 63.55 Cu.upf
Pd 106.42 Pd.upf
Au 196.97 Au.upf
CELL_PARAMETERS angstrom
-0.670 1.663 -2.117
-6.725 -2.959 -0.196
0.810 6.826 6.924
ATOMIC_POSITIONS angstrom
Cu -5.007 2.155 1.460
Cu -1.972 -0.868 -0.058
Cu -1.577 3.375 3.150
Cu -4.752 -2.091 -0.139
Pd -2.388 5.111 4.771
Pd -4.196 0.419 -0.161
Au -2.251 1.306 1.738
Au -4.333 4.224 2.872
Au -6.253 -0.455 1.621
Au -0.335 0.831 -1.058
Au -0.331 5.985 2.989

=====

# 3
! GGA-PBE CeNd3Y3Te8, optimized geometry; values from VASP
! Crystal system: monoclinic
! N(E_F), states/eV per atom: 0.983
! Total magnetic moment, μB per formula unit: 1.4
! Space group: C2/m (12)
! Calculated total energy, eV per atom: -5.725
&SYSTEM
  ibrav = 0, nat = 15, ntyp = 4
/
ATOMIC_SPECIES
Ce 140.12 Ce.upf
Nd 144.24 Nd.upf
Y 88.91 Y.upf
Te 127.60 Te.upf
CELL_PARAMETERS angstrom
-4.625 0.530 -7.517
3.636 -7.688 2.412
-6.914 3.228 4.478
ATOMIC_POSITIONS angstrom
Ce -3.457 1.614 2.239
Nd 0.000 0.000 0.000
Nd 1.818 -3.844 1.206
Nd -0.494 -3.579 -2.552
Y -5.769 1.879 -1.519
Y -3.951 -1.965 -0.313
Y -1.639 -2.230 3.445
Te -1.130 -2.923 0.485
Te -6.771 -1.007 -1.111
Te -3.393 -2.520 -3.294
Te -4.508 -1.411 2.667
Te -5.121 1.140 -4.442
Te -2.781 -5.070 3.816
Te -2.923 0.888 -0.864
Te -4.979 -4.819 0.237